Record 1
# LaEr2Rh | Alexandria via LeMat-Bulk | GGA-PBE | optimized geometry
data_LaEr2Rh
_chemical_formula_sum 'La3 Er6 Rh3'
_cell_length_a 3.8175
_cell_length_b 3.8175
_cell_length_c 28.2011
_cell_angle_alpha 90.00
_cell_angle_beta 90.00
_cell_angle_gamma 120.00
_space_group_name_H-M_alt 'R -3 m'
_space_group_IT_number 166
_space_group_name_Hall '-R 3 2"'
loop_
_atom_site_label
_atom_site_fract_x
_atom_site_fract_y
_atom_site_fract_z
La1 0.0000 0.0000 0.0000
Er1 0.0000 0.0000 0.2236
Rh1 0.0000 0.0000 0.5000
# - Calculated density: 8.1 g cm⁻³
# - Energy above the lowest structure with this stoichiometry: 148 meV per atom
# - Volume: 29.660 A^3/atom
# - Total energy: -5.723 eV/atom
# - Magnetization: 0.00 μB/f.u.
# - Crystal system: trigonal

=====

Record 2
# CeGa4Bi | Alexandria via LeMat-Bulk | GGA-PBE | optimized geometry
data_CeGa4Bi
_chemical_formula_sum 'Ce4 Ga16 Bi4'
_cell_length_a 8.0561
_cell_length_b 8.0561
_cell_length_c 8.0561
_cell_angle_alpha 90.00
_cell_angle_beta 90.00
_cell_angle_gamma 90.00
_space_group_name_H-M_alt 'F -4 3 m'
_space_group_IT_number 216
_space_group_name_Hall 'F -4 2 3'
loop_
_atom_site_label
_atom_site_fract_x
_atom_site_fract_y
_atom_site_fract_z
Ce1 0.0000 0.0000 0.0000
Ga1 0.1249 0.1249 0.3751
Bi1 0.2500 0.2500 0.7500
# - Calculated density: 8.0 g cm⁻³
# - Volume: 21.785 A^3/atom
# - Total energy: -3.865 eV/atom
# - Magnetization: 1.18 μB/f.u.
# - Crystal system: cubic

=====

Record 3
# ZrCuIO2 | Alexandria via LeMat-Bulk | GGA-PBE | optimized geometry
data_ZrCuIO2
_chemical_formula_sum 'Zr1 Cu1 I1 O2'
_cell_length_a 4.0670
_cell_length_b 4.0670
_cell_length_c 4.8492
_cell_angle_alpha 90.00
_cell_angle_beta 90.00
_cell_angle_gamma 90.00
_space_group_name_H-M_alt 'P 4/m m m'
_space_group_IT_number 123
_space_group_name_Hall '-P 4 2'
loop_
_atom_site_label
_atom_site_fract_x
_atom_site_fract_y
_atom_site_fract_z
Zr1 0.0000 0.0000 0.0000
Cu1 0.5000 0.5000 0.5000
I1 0.5000 0.5000 0.0000
O1 0.0000 0.5000 0.5000
# - Calculated density: 6.5 g cm⁻³
# - E_form (uncorrected): -0.19 eV/f.u.
# - Energy above the lowest structure with this stoichiometry: 1345 meV per atom
# - Volume: 16.042 A^3/atom
# - Total energy: -4.861 eV/atom
# - Magnetization: 0.00 μB/f.u.
# - Crystal system: tetragonal